Below is a crystal of KNiRh2 relaxed with PBEsol, with properties calculated at the meta-GGA SCAN level.

Results
energy above the most stable polymorph in this dataset = 0.0927 eV/atom
energy of formation from the pure elements = 13.517 kcal/mol of atoms
M_tot = 1.9 μB/f.u.
raw total energy = -22.425 eV per atom

Structure (CIF):
```
data_KNiRh2
_space_group_name_H-M_alt 'I m m m'
_space_group_IT_number 71
_space_group_name_Hall '-I 2 2'
_cell_length_a 2.642
_cell_length_b 4.764
_cell_length_c 9.980
_cell_angle_alpha 90.00
_cell_angle_beta 90.00
_cell_angle_gamma 90.00
loop_
_atom_site_label
_atom_site_fract_x
_atom_site_fract_y
_atom_site_fract_z
K1 0.000 0.000 0.000
Ni1 0.000 0.000 0.500
Rh1 0.000 0.500 0.215
```



Below is a crystal of KNi2Rh relaxed with PBEsol, with properties calculated at the meta-GGA SCAN level.

Results
energy above the most stable polymorph in this dataset = 0.3535 eV/atom
energy of formation from the pure elements = 19.441 kcal/mol of atoms
M_tot = 2.0 μB/f.u.
raw total energy = -17.769 eV per atom

Structure (CIF):
```
data_KNi2Rh
_space_group_name_H-M_alt 'P 4/m m m'
_space_group_IT_number 123
_space_group_name_Hall '-P 4 2'
_cell_length_a 4.700
_cell_length_b 4.700
_cell_length_c 2.618
_cell_angle_alpha 90.00
_cell_angle_beta 90.00
_cell_angle_gamma 90.00
loop_
_atom_site_label
_atom_site_fract_x
_atom_site_fract_y
_atom_site_fract_z
K1 0.000 0.000 0.000
Ni1 0.000 0.500 0.500
Rh1 0.500 0.500 0.000
```



Below is a crystal of KNi2Rh relaxed with PBEsol, with properties calculated at the meta-GGA SCAN level.

Results
energy above the most stable polymorph in this dataset = 0.3710 eV/atom
energy of formation from the pure elements = 19.844 kcal/mol of atoms
M_tot = 2.5 μB/f.u.
raw total energy = -17.751 eV per atom

Structure (CIF):
```
data_KNi2Rh
_space_group_name_H-M_alt 'I m m m'
_space_group_IT_number 71
_space_group_name_Hall '-I 2 2'
_cell_length_a 2.616
_cell_length_b 5.102
_cell_length_c 9.809
_cell_angle_alpha 90.00
_cell_angle_beta 90.00
_cell_angle_gamma 90.00
loop_
_atom_site_label
_atom_site_fract_x
_atom_site_fract_y
_atom_site_fract_z
K1 0.000 0.000 0.000
Ni1 0.000 0.500 0.212
Rh1 0.000 0.000 0.500
```



Below is a crystal of KNi2Rh relaxed with PBEsol, with properties calculated at the meta-GGA SCAN level.

Results
energy above the most stable polymorph in this dataset = 0.0000 eV/atom
energy of formation from the pure elements = 11.288 kcal/mol of atoms
M_tot = 2.1 μB/f.u.
raw total energy = -18.122 eV per atom

Structure (CIF):
```
data_KNi2Rh
_space_group_name_H-M_alt 'P m m m'
_space_group_IT_number 47
_cell_length_a 2.668
_cell_length_b 3.464
_cell_length_c 7.267
_cell_angle_alpha 90.00
_cell_angle_beta 90.00
_cell_angle_gamma 90.00
loop_
_space_group_symop_operation_xyz
'x,y,z'
'-x,-y,-z'
'-x,-y,z'
'x,y,-z'
'x,-y,-z'
'-x,y,z'
'-x,y,-z'
'x,-y,z'
loop_
_atom_site_label
_atom_site_fract_x
_atom_site_fract_y
_atom_site_fract_z
K1 0.000 0.000 0.000
Ni1 0.500 0.500 0.335
Rh1 0.000 0.000 0.500
```



Below is a crystal of KNiRh2 relaxed with PBEsol, with properties calculated at the meta-GGA SCAN level.

Results
energy above the most stable polymorph in this dataset = 0.0000 eV/atom
energy of formation from the pure elements = 11.380 kcal/mol of atoms
M_tot = 0.5 μB/f.u.
raw total energy = -22.518 eV per atom

Structure (CIF):
```
data_KNiRh2
_space_group_name_H-M_alt 'P 4 m m'
_space_group_IT_number 99
_cell_length_a 2.764
_cell_length_b 2.764
_cell_length_c 8.561
_cell_angle_alpha 90.00
_cell_angle_beta 90.00
_cell_angle_gamma 90.00
loop_
_space_group_symop_operation_xyz
'x,y,z'
'-y,x,z'
'-x,-y,z'
'y,-x,z'
'-x,y,z'
'y,x,z'
'x,-y,z'
'-y,-x,z'
loop_
_atom_site_label
_atom_site_fract_x
_atom_site_fract_y
_atom_site_fract_z
K1 0.000 0.000 0.000
Ni1 0.500 0.500 0.304
Rh1 0.000 0.000 0.486
Rh2 0.500 0.500 0.688
```



Below is a crystal of KNiRu2 relaxed with PBEsol, with properties calculated at the meta-GGA SCAN level.

Results
energy above the most stable polymorph in this dataset = 0.4733 eV/atom
energy of formation from the pure elements = 27.529 kcal/mol of atoms
M_tot = 0.0 μB/f.u.
raw total energy = -22.345 eV per atom

Structure (CIF):
```
data_KNiRu2
_space_group_name_H-M_alt 'I m m 2'
_space_group_IT_number 44
_cell_length_a 2.588
_cell_length_b 5.149
_cell_length_c 9.903
_cell_angle_alpha 90.00
_cell_angle_beta 90.00
_cell_angle_gamma 90.00
loop_
_space_group_symop_operation_xyz
'x,y,z'
'-x,-y,z'
'-x,y,z'
'x,-y,z'
'x+1/2,y+1/2,z+1/2'
'-x+1/2,-y+1/2,z+1/2'
'-x+1/2,y+1/2,z+1/2'
'x+1/2,-y+1/2,z+1/2'
loop_
_atom_site_label
_atom_site_fract_x
_atom_site_fract_y
_atom_site_fract_z
K1 0.000 0.000 0.000
Ni1 0.000 0.500 0.777
Ru1 0.000 0.000 0.490
Ru2 0.000 0.500 0.207
```



Below is a crystal of K2NiRu relaxed with PBEsol, with properties calculated at the meta-GGA SCAN level.

Results
energy of formation from the pure elements = 31.099 kcal/mol of atoms
M_tot = 2.2 μB/f.u.
raw total energy = -15.566 eV per atom

Structure (CIF):
```
data_K2NiRu
_space_group_name_H-M_alt 'P 4/m m m'
_space_group_IT_number 123
_space_group_name_Hall '-P 4 2'
_cell_length_a 6.096
_cell_length_b 6.096
_cell_length_c 2.572
_cell_angle_alpha 90.00
_cell_angle_beta 90.00
_cell_angle_gamma 90.00
loop_
_atom_site_label
_atom_site_fract_x
_atom_site_fract_y
_atom_site_fract_z
K1 0.000 0.500 0.000
Ni1 0.000 0.000 0.500
Ru1 0.500 0.500 0.500
```



Below is a crystal of KNiRu2 relaxed with PBEsol, with properties calculated at the meta-GGA SCAN level.

Results
energy above the most stable polymorph in this dataset = 0.0000 eV/atom
energy of formation from the pure elements = 16.615 kcal/mol of atoms
M_tot = 1.0 μB/f.u.
raw total energy = -22.818 eV per atom

Structure (CIF):
```
data_KNiRu2
_space_group_name_H-M_alt 'P 1 m 1'
_space_group_IT_number 6
_cell_length_a 2.643
_cell_length_b 4.037
_cell_length_c 7.092
_cell_angle_alpha 90.00
_cell_angle_beta 100.46
_cell_angle_gamma 90.00
loop_
_space_group_symop_operation_xyz
'x,y,z'
'x,-y,z'
loop_
_atom_site_label
_atom_site_fract_x
_atom_site_fract_y
_atom_site_fract_z
K1 0.000 0.000 0.000
Ni1 0.658 0.500 0.318
Ru1 0.308 0.500 0.626
Ru2 0.750 0.000 0.506
```